# Li2Cu3Sb2

A relaxed Li2Cu3Sb2 crystal (PBE, the Alexandria database).

Cell: 9.458 4.280 6.298 Å, 90.00 107.52 90.00°
Element x y z (fractional)
1 Li 0.118 0.000 0.210
2 Li 0.382 0.500 0.790
3 Li 0.618 0.500 0.210
4 Li 0.882 0.000 0.790
5 Cu 0.000 0.500 0.500
6 Cu 0.106 0.500 0.919
7 Cu 0.394 0.000 0.081
8 Cu 0.500 0.000 0.500
9 Cu 0.606 0.000 0.919
10 Cu 0.894 0.500 0.081
11 Sb 0.166 0.000 0.710
12 Sb 0.334 0.500 0.290
13 Sb 0.666 0.500 0.710
14 Sb 0.834 0.000 0.290

Properties
SG ... No. 12
N(E_F) ... 0.342 states/eV/atom
Formation energy (no corrections) ... -1.054 eV/f.u.
Spin magnetization ... 0.0000 μB per atom
Crystal system ... monoclinic
Energy ... -3.63 eV per atom


# Li2CuSbSe4

A relaxed Li2CuSbSe4 crystal (PBE, the Alexandria database).

Cell: 7.635 7.635 7.907 Å, 117.76 117.76 89.28°
Element x y z (fractional)
1 Li 0.000 0.000 0.000
2 Li 0.000 0.000 0.500
3 Li 0.000 0.500 0.000
4 Li 0.500 0.000 0.500
5 Cu 0.000 0.500 0.500
6 Cu 0.500 0.000 0.000
7 Sb 0.500 0.500 0.000
8 Sb 0.500 0.500 0.500
9 Se 0.179 0.694 0.426
10 Se 0.226 0.278 0.521
11 Se 0.278 0.226 0.021
12 Se 0.306 0.821 0.074
13 Se 0.694 0.179 0.926
14 Se 0.722 0.774 0.979
15 Se 0.774 0.722 0.479
16 Se 0.821 0.306 0.574

Properties
SG ... No. 15
N(E_F) ... 0.377 states/eV/atom
Formation energy (no corrections) ... -4.065 eV/f.u.
Spin magnetization ... 0.0000 μB per atom
Crystal system ... monoclinic
Energy ... -3.76 eV per atom


# LiCuSbSe3

A relaxed LiCuSbSe3 crystal (PBE, the Alexandria database).

Cell: 8.314 3.983 9.153 Å, 90.00 106.81 90.00°
Element x y z (fractional)
1 Li 0.217 0.250 0.174
2 Li 0.783 0.750 0.826
3 Cu 0.414 0.750 0.432
4 Cu 0.586 0.250 0.568
5 Sb 0.288 0.750 0.844
6 Sb 0.712 0.250 0.156
7 Se 0.072 0.250 0.871
8 Se 0.281 0.250 0.476
9 Se 0.429 0.750 0.144
10 Se 0.571 0.250 0.856
11 Se 0.719 0.750 0.524
12 Se 0.928 0.750 0.129

Properties
SG ... No. 11
N(E_F) ... 0.519 states/eV/atom
Formation energy (no corrections) ... -2.451 eV/f.u.
Spin magnetization ... 0.0000 μB per atom
Crystal system ... monoclinic
Energy ... -3.84 eV per atom


# LiCuSb2Se

A relaxed LiCuSb2Se crystal (PBE, the Alexandria database).

Cell: 5.041 5.041 4.299 Å, 90.00 90.00 90.00°
Element x y z (fractional)
1 Li 0.000 0.000 0.000
2 Cu 0.000 0.000 0.500
3 Sb 0.000 0.500 0.000
4 Sb 0.500 0.000 0.000
5 Se 0.500 0.500 0.500

Properties
SG ... No. 123
N(E_F) ... 0.563 states/eV/atom
Formation energy (no corrections) ... 2.252 eV/f.u.
Spin magnetization ... 0.0000 μB per atom
Crystal system ... tetragonal
Energy ... -3.10 eV per atom


# LiCuSnSb

A relaxed LiCuSnSb crystal (PBE, the Alexandria database).

Cell: 6.856 6.856 6.856 Å, 90.00 90.00 90.00°
Element x y z (fractional)
1 Li 0.000 0.000 0.000
2 Li 0.000 0.500 0.500
3 Li 0.500 0.000 0.500
4 Li 0.500 0.500 0.000
5 Cu 0.000 0.000 0.500
6 Cu 0.000 0.500 0.000
7 Cu 0.500 0.000 0.000
8 Cu 0.500 0.500 0.500
9 Sn 0.250 0.250 0.250
10 Sn 0.250 0.750 0.750
11 Sn 0.750 0.250 0.750
12 Sn 0.750 0.750 0.250
13 Sb 0.250 0.250 0.750
14 Sb 0.250 0.750 0.250
15 Sb 0.750 0.250 0.250
16 Sb 0.750 0.750 0.750

Properties
SG ... No. 216
N(E_F) ... 0.303 states/eV/atom
Formation energy (no corrections) ... -0.193 eV/f.u.
Spin magnetization ... 0.0000 μB per atom
Crystal system ... cubic
Energy ... -3.58 eV per atom


# SrLiCuSb2

A relaxed SrLiCuSb2 crystal (PBE, the Alexandria database).

Cell: 4.573 4.573 11.570 Å, 90.00 90.00 90.00°
Element x y z (fractional)
1 Sr 0.000 0.000 0.000
2 Sr 0.500 0.500 0.500
3 Li 0.000 0.500 0.250
4 Li 0.500 0.000 0.750
5 Cu 0.000 0.500 0.750
6 Cu 0.500 0.000 0.250
7 Sb 0.000 0.000 0.372
8 Sb 0.000 0.000 0.628
9 Sb 0.500 0.500 0.128
10 Sb 0.500 0.500 0.872

Properties
SG ... No. 119
N(E_F) ... 0.250 states/eV/atom
Formation energy (no corrections) ... -2.862 eV/f.u.
Spin magnetization ... 0.0000 μB per atom
Crystal system ... tetragonal
Energy ... -3.76 eV per atom


# LiTaCuSb2

A relaxed LiTaCuSb2 crystal (PBE, the Alexandria database).

Cell: 5.314 5.314 5.021 Å, 90.00 90.00 90.00°
Element x y z (fractional)
1 Li 0.000 0.000 0.000
2 Ta 0.500 0.500 0.500
3 Cu 0.500 0.500 0.000
4 Sb 0.000 0.500 0.500
5 Sb 0.500 0.000 0.500

Properties
SG ... No. 123
N(E_F) ... 0.525 states/eV/atom
Formation energy (no corrections) ... 2.175 eV/f.u.
Spin magnetization ... 0.0000 μB per atom
Crystal system ... tetragonal
Energy ... -4.79 eV per atom


# LiCuSb2Te

A relaxed LiCuSb2Te crystal (PBE, the Alexandria database).

Cell: 4.951 4.951 5.066 Å, 90.00 90.00 90.00°
Element x y z (fractional)
1 Li 0.000 0.000 0.000
2 Cu 0.500 0.500 0.500
3 Sb 0.000 0.500 0.000
4 Sb 0.500 0.000 0.000
5 Te 0.000 0.000 0.500

Properties
SG ... No. 123
N(E_F) ... 0.475 states/eV/atom
Formation energy (no corrections) ... 2.692 eV/f.u.
Spin magnetization ... 0.0000 μB per atom
Crystal system ... tetragonal
Energy above the most stable polymorph in this dataset ... 0.3208 eV/atom
Energy ... -2.94 eV per atom


# LiCuSb2Te

A relaxed LiCuSb2Te crystal (PBE, the Alexandria database).

Cell: 5.056 5.056 5.537 Å, 90.00 90.00 90.00°
Element x y z (fractional)
1 Li 0.000 0.000 0.000
2 Cu 0.500 0.500 0.500
3 Sb 0.000 0.500 0.500
4 Sb 0.500 0.000 0.500
5 Te 0.500 0.500 0.000

Properties
SG ... No. 123
N(E_F) ... 0.576 states/eV/atom
Formation energy (no corrections) ... 1.088 eV/f.u.
Spin magnetization ... 0.0000 μB per atom
Crystal system ... tetragonal
Energy above the most stable polymorph in this dataset ... 0.0000 eV/atom
Energy ... -3.26 eV per atom


# Li2ThCu2Sb2

A relaxed Li2ThCu2Sb2 crystal (PBE, the Alexandria database).

Cell: 9.030 9.030 9.030 Å, 28.19 28.19 28.19°
Element x y z (fractional)
1 Li 0.136 0.136 0.136
2 Li 0.864 0.864 0.864
3 Th 0.000 0.000 0.000
4 Cu 0.401 0.401 0.401
5 Cu 0.599 0.599 0.599
6 Sb 0.247 0.247 0.247
7 Sb 0.753 0.753 0.753

Properties
SG ... No. 166
N(E_F) ... 0.302 states/eV/atom
Formation energy (no corrections) ... -3.574 eV/f.u.
Spin magnetization ... 0.0000 μB per atom
Crystal system ... trigonal
Energy ... -4.47 eV per atom


# LiTi2CuSb

A relaxed LiTi2CuSb crystal (PBE, the Alexandria database).

Cell: 4.395 4.395 4.462 Å, 90.00 90.00 90.00°
Element x y z (fractional)
1 Li 0.000 0.000 0.000
2 Ti 0.000 0.500 0.000
3 Ti 0.500 0.000 0.000
4 Cu 0.500 0.500 0.500
5 Sb 0.000 0.000 0.500

Properties
SG ... No. 123
N(E_F) ... 0.628 states/eV/atom
Formation energy (no corrections) ... 3.016 eV/f.u.
Spin magnetization ... 0.0000 μB per atom
Crystal system ... tetragonal
Energy ... -4.58 eV per atom


# LiTiCuSb

A relaxed LiTiCuSb crystal (PBE, the Alexandria database).

Cell: 6.452 6.452 6.452 Å, 90.00 90.00 90.00°
Element x y z (fractional)
1 Li 0.000 0.000 0.000
2 Li 0.000 0.500 0.500
3 Li 0.500 0.000 0.500
4 Li 0.500 0.500 0.000
5 Ti 0.000 0.000 0.500
6 Ti 0.000 0.500 0.000
7 Ti 0.500 0.000 0.000
8 Ti 0.500 0.500 0.500
9 Cu 0.250 0.250 0.250
10 Cu 0.250 0.750 0.750
11 Cu 0.750 0.250 0.750
12 Cu 0.750 0.750 0.250
13 Sb 0.250 0.250 0.750
14 Sb 0.250 0.750 0.250
15 Sb 0.750 0.250 0.250
16 Sb 0.750 0.750 0.750

Properties
SG ... No. 216
N(E_F) ... 1.134 states/eV/atom
Formation energy (no corrections) ... -0.692 eV/f.u.
Spin magnetization ... 0.2334 μB per atom
Crystal system ... cubic
Energy ... -4.68 eV per atom


# Li2TmCu2Sb2

A relaxed Li2TmCu2Sb2 crystal (PBE, the Alexandria database).

Cell: 8.378 8.378 8.378 Å, 29.98 29.98 29.98°
Element x y z (fractional)
1 Li 0.142 0.142 0.142
2 Li 0.858 0.858 0.858
3 Tm 0.000 0.000 0.000
4 Cu 0.444 0.444 0.444
5 Cu 0.556 0.556 0.556
6 Sb 0.258 0.258 0.258
7 Sb 0.742 0.742 0.742

Properties
SG ... No. 166
N(E_F) ... 0.206 states/eV/atom
Formation energy (no corrections) ... -3.519 eV/f.u.
Spin magnetization ... 0.0000 μB per atom
Crystal system ... trigonal
Energy ... -4.04 eV per atom


# Li2YCu2Sb2

A relaxed Li2YCu2Sb2 crystal (PBE, the Alexandria database).

Cell: 8.441 8.441 8.441 Å, 29.86 29.86 29.86°
Element x y z (fractional)
1 Li 0.142 0.142 0.142
2 Li 0.858 0.858 0.858
3 Y 0.000 0.000 0.000
4 Cu 0.444 0.444 0.444
5 Cu 0.556 0.556 0.556
6 Sb 0.256 0.256 0.256
7 Sb 0.744 0.744 0.744

Properties
SG ... No. 166
N(E_F) ... 0.222 states/eV/atom
Formation energy (no corrections) ... -3.768 eV/f.u.
Spin magnetization ... 0.0000 μB per atom
Crystal system ... trigonal
Energy ... -4.36 eV per atom


# LiZnCuSb

A relaxed LiZnCuSb crystal (PBE, the Alexandria database).

Cell: 6.456 6.456 6.456 Å, 90.00 90.00 90.00°
Element x y z (fractional)
1 Li 0.000 0.000 0.000
2 Li 0.000 0.500 0.500
3 Li 0.500 0.000 0.500
4 Li 0.500 0.500 0.000
5 Zn 0.250 0.250 0.750
6 Zn 0.250 0.750 0.250
7 Zn 0.750 0.250 0.250
8 Zn 0.750 0.750 0.750
9 Cu 0.000 0.000 0.500
10 Cu 0.000 0.500 0.000
11 Cu 0.500 0.000 0.000
12 Cu 0.500 0.500 0.500
13 Sb 0.250 0.250 0.250
14 Sb 0.250 0.750 0.750
15 Sb 0.750 0.250 0.750
16 Sb 0.750 0.750 0.250

Properties
SG ... No. 216
N(E_F) ... 0.439 states/eV/atom
Formation energy (no corrections) ... -0.354 eV/f.u.
Spin magnetization ... 0.0000 μB per atom
Crystal system ... cubic
Energy ... -2.94 eV per atom


# LiSc2Cu

A relaxed LiSc2Cu crystal (PBE, the Alexandria database).

Cell: 3.258 3.258 27.697 Å, 90.00 90.00 120.00°
Element x y z (fractional)
1 Li 0.000 0.000 0.000
2 Li 0.333 0.667 0.667
3 Li 0.667 0.333 0.333
4 Sc 0.000 0.000 0.238
5 Sc 0.000 0.000 0.429
6 Sc 0.333 0.667 0.095
7 Sc 0.333 0.667 0.905
8 Sc 0.667 0.333 0.571
9 Sc 0.667 0.333 0.762
10 Cu 0.000 0.000 0.834
11 Cu 0.333 0.667 0.500
12 Cu 0.667 0.333 0.167

Properties
SG ... No. 160
N(E_F) ... 1.322 states/eV/atom
Spin magnetization ... 0.0005 μB per atom
ΔH_f (0 K) ... 126 meV/atom
Crystal system ... trigonal
Energy ... -4.54 eV per atom


# Li2ScCu2

A relaxed Li2ScCu2 crystal (PBE, the Alexandria database).

Cell: 6.988 6.988 3.242 Å, 90.00 90.00 90.00°
Element x y z (fractional)
1 Li 0.158 0.342 0.000
2 Li 0.342 0.842 0.000
3 Li 0.658 0.158 0.000
4 Li 0.842 0.658 0.000
5 Sc 0.000 0.000 0.500
6 Sc 0.500 0.500 0.500
7 Cu 0.130 0.630 0.500
8 Cu 0.370 0.130 0.500
9 Cu 0.630 0.870 0.500
10 Cu 0.870 0.370 0.500

Properties
SG ... No. 127
N(E_F) ... 0.628 states/eV/atom
Spin magnetization ... 0.0000 μB per atom
ΔH_f (0 K) ... 60 meV/atom
Crystal system ... tetragonal
Energy above the most stable polymorph in this dataset ... 0.1047 eV/atom
Energy ... -3.61 eV per atom


# Li2ScCu

A relaxed Li2ScCu crystal (PBE, the Alexandria database).

Cell: 3.099 3.099 27.390 Å, 90.00 90.00 120.00°
Element x y z (fractional)
1 Li 0.000 0.000 0.000
2 Li 0.000 0.000 0.244
3 Li 0.333 0.667 0.667
4 Li 0.333 0.667 0.911
5 Li 0.667 0.333 0.333
6 Li 0.667 0.333 0.577
7 Sc 0.000 0.000 0.765
8 Sc 0.333 0.667 0.431
9 Sc 0.667 0.333 0.098
10 Cu 0.000 0.000 0.506
11 Cu 0.333 0.667 0.173
12 Cu 0.667 0.333 0.840

Properties
SG ... No. 160
N(E_F) ... 0.767 states/eV/atom
Spin magnetization ... 0.0002 μB per atom
ΔH_f (0 K) ... 100 meV/atom
Crystal system ... trigonal
Energy above the most stable polymorph in this dataset ... 0.1264 eV/atom
Energy ... -3.46 eV per atom


# LiSc2Cu

A relaxed LiSc2Cu crystal (PBE, the Alexandria database).

Cell: 10.305 3.204 4.841 Å, 90.00 109.21 90.00°
Element x y z (fractional)
1 Li 0.000 0.000 0.000
2 Li 0.500 0.500 0.000
3 Sc 0.064 0.500 0.562
4 Sc 0.276 0.500 0.216
5 Sc 0.564 0.000 0.562
6 Sc 0.776 0.000 0.216
7 Cu 0.295 0.000 0.727
8 Cu 0.795 0.500 0.727

Properties
SG ... No. 8
N(E_F) ... 1.169 states/eV/atom
Spin magnetization ... 0.0031 μB per atom
ΔH_f (0 K) ... 18 meV/atom
Crystal system ... monoclinic
Energy ... -4.65 eV per atom


# Li2ScCu

A relaxed Li2ScCu crystal (PBE, the Alexandria database).

Cell: 2.848 2.848 8.590 Å, 90.00 90.00 90.00°
Element x y z (fractional)
1 Li 0.000 0.000 0.200
2 Li 0.000 0.000 0.800
3 Sc 0.500 0.500 0.500
4 Cu 0.500 0.500 0.000

Properties
SG ... No. 123
N(E_F) ... 0.464 states/eV/atom
Spin magnetization ... 0.0211 μB per atom
ΔH_f (0 K) ... 141 meV/atom
Crystal system ... tetragonal
Energy above the most stable polymorph in this dataset ... 0.1673 eV/atom
Energy ... -3.42 eV per atom